[1]
Entry from the Alexandria database: a geometry-optimized Ce5Ni2Ge5 structure (PBE).

Geometry as POSCAR:
```
Ce5Ni2Ge5
1.0
7.446 -2.063 0.000
7.446 2.063 0.000
-6.724 0.000 8.487
Ce Ni Ge
5 2 5
Cartesian
0.000 0.000 0.000
1.832 0.000 3.378
4.222 0.000 1.751
3.947 0.000 6.737
6.337 0.000 5.109
0.831 0.000 6.284
7.338 0.000 2.204
-3.362 0.000 4.244
-1.153 0.000 2.793
-1.308 0.000 7.472
9.477 0.000 1.015
9.322 0.000 5.694
```

Output
Calculated formation energy, eV per atom: -0.71



[2]
Entry from the Alexandria database: a geometry-optimized KNpMn2Br8 structure (PBE).

Geometry as POSCAR:
```
KNpMn2Br8
1.0
3.432 1.981 10.764
-3.432 1.981 10.764
0.000 -3.963 10.764
K Np Mn Br
1 1 2 8
Cartesian
0.000 0.000 0.000
0.000 0.000 16.146
0.000 0.000 8.099
0.000 0.000 24.192
-1.043 -1.963 14.259
-1.179 -1.884 18.032
0.000 0.000 10.514
-1.179 1.884 14.259
-1.043 1.963 18.032
0.000 0.000 21.778
2.221 0.079 14.259
2.221 -0.079 18.032
```

Output
Uncorrected formation energy, eV per atom: -1.05



[3]
Entry from the Alexandria database: a geometry-optimized Li2TaCo structure (PBE).

Geometry as POSCAR:
```
Li2TaCo
1.0
1.420 0.820 9.143
-1.420 0.820 9.143
0.000 -1.639 9.143
Li Ta Co
2 1 1
Cartesian
0.000 0.000 0.000
0.000 0.000 6.511
0.000 0.000 13.108
0.000 0.000 20.305
```

Output
Calculated formation energy, eV per atom: 0.23



[4]
Entry from the Alexandria database: a geometry-optimized RbInPb structure (PBE).

Geometry as POSCAR:
```
RbInPb
1.0
5.764 0.000 0.000
-2.882 4.991 0.000
0.000 0.000 3.614
Rb In Pb
1 1 1
Cartesian
0.000 0.000 0.000
0.000 3.328 1.807
2.882 1.664 1.807
```

Output
Calculated formation energy, eV per atom: -0.03



| no. | mass density (g/cm³) | V (Å³/atom) |
| --- | --- | --- |
| 1 | 7.52 | 21.7 |
| 2 | 3.88 | 36.6 |
| 3 | 6.60 | 16.0 |
| 4 | 6.51 | 34.7 |